<i>
Computed, not measured: crystalline Y2Ni2Pt at its relaxed geometry at the GGA-PBE level of DFT.

Total magnetic moment = 0.0 μB per cell
Density of states at the Fermi level = 0.658 states/eV/atom

a b c (Å): 7.023 7.023 3.753
angles (deg): 90.00 90.00 90.00
Sites, in units of the cell vectors:
Y 0.183 0.317 0.000
Y 0.317 0.817 0.000
Y 0.683 0.183 0.000
Y 0.817 0.683 0.000
Ni 0.119 0.619 0.500
Ni 0.381 0.119 0.500
Ni 0.619 0.881 0.500
Ni 0.881 0.381 0.500
Pt 0.000 0.000 0.500
Pt 0.500 0.500 0.500

=====

<ii>
Computed, not measured: crystalline Y2Ni2Pt at its relaxed geometry at the GGA-PBE level of DFT.

Total magnetic moment = 0.0 μB per cell
Density of states at the Fermi level = 0.659 states/eV/atom

a b c (Å): 5.180 5.180 7.394
angles (deg): 90.00 90.00 90.00
Sites, in units of the cell vectors:
Y 0.000 0.500 0.250
Y 0.000 0.500 0.750
Y 0.500 0.000 0.250
Y 0.500 0.000 0.750
Ni 0.000 0.000 0.152
Ni 0.000 0.000 0.848
Ni 0.500 0.500 0.348
Ni 0.500 0.500 0.652
Pt 0.000 0.000 0.500
Pt 0.500 0.500 0.000

=====

Quick one: least stable of them? <ii>

=====

<i>
Computed, not measured: crystalline ZnNiPt3 at its relaxed geometry at the GGA-PBE level of DFT.

Total magnetic moment = 1.0 μB per cell
Density of states at the Fermi level = 1.767 states/eV/atom

a b c (Å): 4.556 4.556 4.556
angles (deg): 90.00 90.00 90.00
Sites, in units of the cell vectors:
Zn 0.000 0.000 0.000
Ni 0.500 0.500 0.500
Pt 0.000 0.500 0.500
Pt 0.500 0.000 0.500
Pt 0.500 0.500 0.000

=====

<ii>
Computed, not measured: crystalline ZnNiPt3 at its relaxed geometry at the GGA-PBE level of DFT.

Total magnetic moment = 1.6 μB per cell
Density of states at the Fermi level = 1.147 states/eV/atom

a b c (Å): 4.777 4.777 8.603
angles (deg): 91.29 91.29 47.61
Sites, in units of the cell vectors:
Zn 0.052 0.052 0.348
Zn 0.948 0.948 0.652
Ni 0.246 0.246 0.749
Ni 0.754 0.754 0.251
Pt 0.155 0.155 0.056
Pt 0.347 0.347 0.449
Pt 0.456 0.456 0.157
Pt 0.544 0.544 0.843
Pt 0.653 0.653 0.551
Pt 0.845 0.845 0.944

=====

Quick one: least stable of them? <i>

=====

<i>
Computed, not measured: crystalline Zn6NiPt2 at its relaxed geometry at the GGA-PBE level of DFT.

Total magnetic moment = 0.0 μB per cell
Density of states at the Fermi level = 0.397 states/eV/atom

a b c (Å): 5.516 5.516 9.067
angles (deg): 90.00 90.00 90.00
Sites, in units of the cell vectors:
Zn 0.000 0.000 0.236
Zn 0.000 0.000 0.764
Zn 0.127 0.299 0.000
Zn 0.201 0.373 0.500
Zn 0.299 0.873 0.000
Zn 0.373 0.799 0.500
Zn 0.500 0.500 0.264
Zn 0.500 0.500 0.736
Zn 0.627 0.201 0.500
Zn 0.701 0.127 0.000
Zn 0.799 0.627 0.500
Zn 0.873 0.701 0.000
Ni 0.000 0.000 0.500
Ni 0.500 0.500 0.000
Pt 0.000 0.500 0.250
Pt 0.000 0.500 0.750
Pt 0.500 0.000 0.250
Pt 0.500 0.000 0.750

=====

<ii>
Computed, not measured: crystalline Zn6NiPt2 at its relaxed geometry at the GGA-PBE level of DFT.

Total magnetic moment = 0.0 μB per cell
Density of states at the Fermi level = 0.370 states/eV/atom

a b c (Å): 7.212 7.212 4.180
angles (deg): 106.17 106.17 47.77
Sites, in units of the cell vectors:
Zn 0.079 0.598 0.338
Zn 0.233 0.767 0.000
Zn 0.402 0.921 0.662
Zn 0.598 0.079 0.338
Zn 0.767 0.233 0.000
Zn 0.921 0.402 0.662
Ni 0.000 0.000 0.500
Pt 0.335 0.335 0.835
Pt 0.665 0.665 0.165

=====

Quick one: least stable of them? <i>

=====

<i>
Computed, not measured: crystalline Zn2NiPt8 at its relaxed geometry at the GGA-PBE level of DFT.

Total magnetic moment = 0.0 μB per cell
Density of states at the Fermi level = 1.097 states/eV/atom

a b c (Å): 6.822 6.822 4.645
angles (deg): 103.86 103.86 59.63
Sites, in units of the cell vectors:
Zn 0.128 0.128 0.495
Zn 0.872 0.872 0.505
Ni 0.000 0.000 0.000
Pt 0.223 0.223 0.056
Pt 0.227 0.632 0.206
Pt 0.359 0.359 0.653
Pt 0.368 0.773 0.794
Pt 0.632 0.227 0.206
Pt 0.641 0.641 0.347
Pt 0.773 0.368 0.794
Pt 0.777 0.777 0.944

=====

<ii>
Computed, not measured: crystalline Zn2NiPt8 at its relaxed geometry at the GGA-PBE level of DFT.

Total magnetic moment = 0.2 μB per cell
Density of states at the Fermi level = 1.166 states/eV/atom

a b c (Å): 6.583 6.583 4.104
angles (deg): 90.08 90.08 105.21
Sites, in units of the cell vectors:
Zn 0.121 0.879 0.000
Zn 0.879 0.121 0.000
Ni 0.500 0.500 0.500
Pt 0.173 0.173 0.498
Pt 0.193 0.458 0.999
Pt 0.260 0.740 0.500
Pt 0.458 0.193 0.999
Pt 0.542 0.807 0.001
Pt 0.740 0.260 0.500
Pt 0.807 0.542 0.001
Pt 0.827 0.827 0.502

=====

Quick one: least stable of them? <i>

=====

<i>
Computed, not measured: crystalline ZnNi6Pt2 at its relaxed geometry at the GGA-PBE level of DFT.

Total magnetic moment = 8.1 μB per cell
Density of states at the Fermi level = 1.425 states/eV/atom

a b c (Å): 5.706 5.706 7.442
angles (deg): 103.61 103.61 94.42
Sites, in units of the cell vectors:
Zn 0.157 0.843 0.750
Zn 0.843 0.157 0.250
Ni 0.055 0.829 0.072
Ni 0.163 0.385 0.571
Ni 0.171 0.945 0.428
Ni 0.282 0.506 0.929
Ni 0.385 0.163 0.071
Ni 0.494 0.718 0.571
Ni 0.506 0.282 0.429
Ni 0.615 0.837 0.929
Ni 0.718 0.494 0.071
Ni 0.829 0.055 0.572
Ni 0.837 0.615 0.429
Ni 0.945 0.171 0.928
Pt 0.168 0.487 0.251
Pt 0.487 0.168 0.751
Pt 0.513 0.832 0.249
Pt 0.832 0.513 0.749

=====

<ii>
Computed, not measured: crystalline ZnNi6Pt2 at its relaxed geometry at the GGA-PBE level of DFT.

Total magnetic moment = 4.1 μB per cell
Density of states at the Fermi level = 1.289 states/eV/atom

a b c (Å): 4.841 4.841 5.627
angles (deg): 90.00 90.00 120.00
Sites, in units of the cell vectors:
Zn 0.000 0.000 0.000
Ni 0.173 0.345 0.334
Ni 0.173 0.827 0.334
Ni 0.345 0.173 0.666
Ni 0.655 0.827 0.334
Ni 0.827 0.173 0.666
Ni 0.827 0.655 0.666
Pt 0.333 0.667 0.895
Pt 0.667 0.333 0.105

=====

Quick one: least stable of them? <ii>

=====

<i>
Computed, not measured: crystalline Zn2Ni2Pt at its relaxed geometry at the GGA-PBE level of DFT.

Total magnetic moment = 0.0 μB per cell
Density of states at the Fermi level = 0.820 states/eV/atom

a b c (Å): 8.233 3.779 5.850
angles (deg): 90.00 134.42 90.00
Sites, in units of the cell vectors:
Zn 0.089 0.000 0.288
Zn 0.411 0.500 0.712
Zn 0.589 0.500 0.288
Zn 0.911 0.000 0.712
Ni 0.195 0.500 0.095
Ni 0.305 0.000 0.905
Ni 0.695 0.000 0.095
Ni 0.805 0.500 0.905
Pt 0.000 0.500 0.500
Pt 0.500 0.000 0.500

=====

<ii>
Computed, not measured: crystalline Zn2Ni2Pt at its relaxed geometry at the GGA-PBE level of DFT.

Total magnetic moment = 0.0 μB per cell
Density of states at the Fermi level = 0.749 states/eV/atom

a b c (Å): 6.878 6.878 2.756
angles (deg): 90.00 90.00 90.00
Sites, in units of the cell vectors:
Zn 0.134 0.366 0.000
Zn 0.366 0.866 0.000
Zn 0.634 0.134 0.000
Zn 0.866 0.634 0.000
Ni 0.164 0.664 0.500
Ni 0.336 0.164 0.500
Ni 0.664 0.836 0.500
Ni 0.836 0.336 0.500
Pt 0.000 0.000 0.000
Pt 0.500 0.500 0.000

=====

Quick one: least stable of them? <ii>

=====

<i>
Computed, not measured: crystalline ZrZnNiPt at its relaxed geometry at the GGA-PBE level of DFT.

Total magnetic moment = 0.0 μB per cell
Density of states at the Fermi level = 0.614 states/eV/atom

a b c (Å): 6.321 6.321 6.321
angles (deg): 90.00 90.00 90.00
Sites, in units of the cell vectors:
Zr 0.000 0.000 0.000
Zr 0.000 0.500 0.500
Zr 0.500 0.000 0.500
Zr 0.500 0.500 0.000
Zn 0.000 0.000 0.500
Zn 0.000 0.500 0.000
Zn 0.500 0.000 0.000
Zn 0.500 0.500 0.500
Ni 0.250 0.250 0.750
Ni 0.250 0.750 0.250
Ni 0.750 0.250 0.250
Ni 0.750 0.750 0.750
Pt 0.250 0.250 0.250
Pt 0.250 0.750 0.750
Pt 0.750 0.250 0.750
Pt 0.750 0.750 0.250

=====

<ii>
Computed, not measured: crystalline ZrZnNiPt at its relaxed geometry at the GGA-PBE level of DFT.

Total magnetic moment = 0.0 μB per cell
Density of states at the Fermi level = 0.435 states/eV/atom

a b c (Å): 4.059 4.059 7.562
angles (deg): 90.00 90.00 90.00
Sites, in units of the cell vectors:
Zr 0.000 0.000 0.000
Zr 0.500 0.500 0.500
Zn 0.000 0.000 0.500
Zn 0.500 0.500 0.000
Ni 0.000 0.500 0.250
Ni 0.500 0.000 0.750
Pt 0.000 0.500 0.750
Pt 0.500 0.000 0.250

=====

Quick one: least stable of them? <i>

=====

<i>
Computed, not measured: crystalline Pu4Ni at its relaxed geometry at the GGA-PBE level of DFT.

Total magnetic moment = 45.4 μB per cell
Density of states at the Fermi level = 4.926 states/eV/atom

a b c (Å): 7.214 7.214 7.214
angles (deg): 60.00 60.00 60.00
Sites, in units of the cell vectors:
Pu 0.199 0.767 0.767
Pu 0.233 0.233 0.233
Pu 0.233 0.233 0.801
Pu 0.233 0.801 0.233
Pu 0.767 0.199 0.767
Pu 0.767 0.767 0.199
Pu 0.767 0.767 0.767
Pu 0.801 0.233 0.233
Ni 0.375 0.375 0.375
Ni 0.625 0.625 0.625

=====

<ii>
Computed, not measured: crystalline Pu4Ni at its relaxed geometry at the GGA-PBE level of DFT.

Total magnetic moment = 23.9 μB per cell
Density of states at the Fermi level = 6.271 states/eV/atom

a b c (Å): 5.235 5.235 5.235
angles (deg): 90.00 90.00 90.00
Sites, in units of the cell vectors:
Pu 0.000 0.000 0.000
Pu 0.000 0.500 0.500
Pu 0.500 0.000 0.500
Pu 0.500 0.500 0.000
Ni 0.500 0.500 0.500

=====

Quick one: least stable of them? <i>

=====

<i>
Computed, not measured: crystalline PuNiRh at its relaxed geometry at the GGA-PBE level of DFT.

Total magnetic moment = 4.9 μB per cell
Density of states at the Fermi level = 3.103 states/eV/atom

a b c (Å): 4.156 4.156 3.702
angles (deg): 90.00 90.00 120.00
Sites, in units of the cell vectors:
Pu 0.000 0.000 0.000
Ni 0.333 0.667 0.500
Rh 0.667 0.333 0.500

=====

<ii>
Computed, not measured: crystalline PuNiRh at its relaxed geometry at the GGA-PBE level of DFT.

Total magnetic moment = 18.1 μB per cell
Density of states at the Fermi level = 2.858 states/eV/atom

a b c (Å): 6.165 6.165 6.165
angles (deg): 90.00 90.00 90.00
Sites, in units of the cell vectors:
Pu 0.030 0.030 0.030
Pu 0.470 0.970 0.530
Pu 0.530 0.470 0.970
Pu 0.970 0.530 0.470
Ni 0.019 0.981 0.481
Ni 0.481 0.019 0.981
Ni 0.519 0.519 0.519
Ni 0.981 0.481 0.019
Rh 0.214 0.714 0.786
Rh 0.286 0.286 0.286
Rh 0.714 0.786 0.214
Rh 0.786 0.214 0.714

=====

<iii>
Computed, not measured: crystalline PuNiRh at its relaxed geometry at the GGA-PBE level of DFT.

Total magnetic moment = 19.4 μB per cell
Density of states at the Fermi level = 3.061 states/eV/atom

a b c (Å): 5.015 5.398 7.338
angles (deg): 90.00 90.00 90.00
Sites, in units of the cell vectors:
Pu 0.000 0.250 0.125
Pu 0.000 0.750 0.875
Pu 0.500 0.250 0.375
Pu 0.500 0.750 0.625
Ni 0.250 0.250 0.750
Ni 0.250 0.750 0.250
Ni 0.750 0.250 0.750
Ni 0.750 0.750 0.250
Rh 0.000 0.000 0.500
Rh 0.000 0.500 0.500
Rh 0.500 0.000 0.000
Rh 0.500 0.500 0.000

=====

Quick one: least stable of them? <ii>

=====

<i>
Computed, not measured: crystalline Pu2Si3Ni at its relaxed geometry at the GGA-PBE level of DFT.

Total magnetic moment = 10.4 μB per cell
Density of states at the Fermi level = 3.574 states/eV/atom

a b c (Å): 3.992 4.015 6.941
angles (deg): 90.00 90.00 90.00
Sites, in units of the cell vectors:
Pu 0.000 0.000 0.000
Pu 0.000 0.500 0.498
Si 0.500 0.000 0.654
Si 0.500 0.500 0.174
Si 0.500 0.500 0.835
Ni 0.500 0.000 0.327

=====

<ii>
Computed, not measured: crystalline Pu2Si3Ni at its relaxed geometry at the GGA-PBE level of DFT.

Total magnetic moment = 21.8 μB per cell
Density of states at the Fermi level = 3.439 states/eV/atom

a b c (Å): 8.022 7.987 5.697
angles (deg): 69.49 68.82 41.69
Sites, in units of the cell vectors:
Pu 0.247 0.753 0.247
Pu 0.250 0.250 0.250
Pu 0.750 0.750 0.750
Pu 0.753 0.247 0.753
Si 0.169 0.169 0.831
Si 0.171 0.659 0.829
Si 0.341 0.829 0.659
Si 0.659 0.171 0.341
Si 0.829 0.341 0.171
Si 0.831 0.831 0.169
Ni 0.333 0.333 0.667
Ni 0.667 0.667 0.333

=====

Quick one: least stable of them? <i>

=====

<i>
Computed, not measured: crystalline Tb2PuNi at its relaxed geometry at the GGA-PBE level of DFT.

Total magnetic moment = 19.1 μB per cell
Density of states at the Fermi level = 2.954 states/eV/atom

a b c (Å): 3.522 3.522 30.944
angles (deg): 90.00 90.00 120.00
Sites, in units of the cell vectors:
Tb 0.000 0.000 0.109
Tb 0.000 0.000 0.891
Tb 0.333 0.667 0.558
Tb 0.333 0.667 0.776
Tb 0.667 0.333 0.224
Tb 0.667 0.333 0.442
Pu 0.000 0.000 0.000
Pu 0.333 0.667 0.667
Pu 0.667 0.333 0.333
Ni 0.000 0.000 0.500
Ni 0.333 0.667 0.167
Ni 0.667 0.333 0.833

=====

<ii>
Computed, not measured: crystalline Tb2PuNi at its relaxed geometry at the GGA-PBE level of DFT.

Total magnetic moment = 6.8 μB per cell
Density of states at the Fermi level = 1.958 states/eV/atom

a b c (Å): 3.422 3.422 8.520
angles (deg): 90.00 90.00 90.00
Sites, in units of the cell vectors:
Tb 0.000 0.000 0.192
Tb 0.000 0.000 0.808
Pu 0.500 0.500 0.500
Ni 0.500 0.500 0.000

=====

Quick one: least stable of them? <i>